1.
The following is a PBE-GGA calculation of an optimized crystal structure of CaAuSe4, from Alexandria.

The electronic total energy comes out at -3.261 eV/atom. The total magnetization is 0.00 μB per formula unit. The value obtained for the density of states at the Fermi level is 3.5 states/eV per cell.

POSCAR file:
```
CaAuSe4
1.0
0.000 4.088 4.088
4.088 0.000 4.088
4.088 4.088 0.000
Ca Au Se
1 1 4
Direct
0.000 0.000 0.000 Ca
0.250 0.250 0.250 Au
0.129 0.624 0.624 Se
0.624 0.129 0.624 Se
0.624 0.624 0.129 Se
0.624 0.624 0.624 Se
```



2.
The following is a PBE-GGA calculation of an optimized crystal structure of SrNbAu, from Alexandria.

The electronic total energy comes out at -4.956 eV/atom. Its energy above the most stable polymorph in this dataset is 0.57 eV per formula unit. The total magnetization is 0.00 μB per formula unit. The value obtained for the density of states at the Fermi level is 5.3 states/eV per cell. Its calculated formation energy is 0.0537 eV/atom.

POSCAR file:
```
SrNbAu
1.0
3.584 0.000 0.000
-0.007 6.272 0.000
-1.790 -2.711 7.087
Sr Nb Au
2 2 2
Direct
0.000 0.000 0.000 Sr
0.359 0.378 0.715 Sr
0.260 0.794 0.521 Nb
0.674 0.482 0.347 Nb
0.047 0.546 0.091 Au
0.687 0.040 0.375 Au
```



3.
The following is a PBE-GGA calculation of an optimized crystal structure of Sc2InCu, from Alexandria.

The electronic total energy comes out at -5.171 eV/atom. The total magnetization is 0.00 μB per formula unit. The value obtained for the density of states at the Fermi level is 3.6 states/eV per cell. Its calculated formation energy is -0.2968 eV/atom.

POSCAR file:
```
Sc2InCu
1.0
3.420 -3.426 0.000
3.420 3.426 0.000
0.000 0.000 3.465
Sc In Cu
2 1 1
Direct
0.000 0.500 0.000 Sc
0.500 0.000 0.000 Sc
0.000 0.000 0.500 In
0.500 0.500 0.500 Cu
```



4.
The following is a PBE-GGA calculation of an optimized crystal structure of KMoPt, from Alexandria.

The electronic total energy comes out at -5.444 eV/atom. Its energy above the most stable polymorph in this dataset is 0.26 eV per formula unit. The total magnetization is 0.00 μB per formula unit. The value obtained for the density of states at the Fermi level is 5.3 states/eV per cell. Its calculated formation energy is 0.5460 eV/atom.

POSCAR file:
```
KMoPt
1.0
-1.489 1.489 7.464
1.489 -1.489 7.464
1.489 1.489 -7.464
K Mo Pt
1 1 1
Direct
0.000 0.000 0.000 K
0.284 0.284 0.000 Mo
0.678 0.678 0.000 Pt
```



5.
The following is a PBE-GGA calculation of an optimized crystal structure of InAsCl2, from Alexandria.

The electronic total energy comes out at -2.953 eV/atom. Its energy above the most stable polymorph in this dataset is 1.19 eV per formula unit. The total magnetization is 0.00 μB per formula unit. The value obtained for the density of states at the Fermi level is 2.3 states/eV per cell.

POSCAR file:
```
InAsCl2
1.0
1.955 -3.456 0.000
1.955 3.456 0.000
0.000 0.000 8.788
In As Cl
1 1 2
Direct
0.000 0.000 0.000 In
0.500 0.500 0.230 As
0.000 0.000 0.406 Cl
0.500 0.500 0.796 Cl
```



6.
The following is a PBE-GGA calculation of an optimized crystal structure of Os2C, from Alexandria.

The electronic total energy comes out at -7.638 eV/atom. Its energy above the most stable polymorph in this dataset is 7.26 eV per formula unit. The total magnetization is 0.00 μB per formula unit. The value obtained for the density of states at the Fermi level is 7.0 states/eV per cell. Its calculated formation energy is 2.9232 eV/atom.

POSCAR file:
```
Os2C
1.0
0.000 3.591 3.591
3.591 0.000 3.591
3.591 3.591 0.000
Os C
4 2
Direct
0.000 0.000 0.000 Os
0.000 0.000 0.500 Os
0.000 0.500 0.000 Os
0.500 0.000 0.000 Os
0.375 0.375 0.375 C
0.625 0.625 0.625 C
```



7.
The following is a PBE-GGA calculation of an optimized crystal structure of TlBiF2, from Alexandria.

The electronic total energy comes out at -3.577 eV/atom. Its energy above the most stable polymorph in this dataset is 1.93 eV per formula unit. The total magnetization is 0.00 μB per formula unit. The value obtained for the density of states at the Fermi level is 3.8 states/eV per cell.

POSCAR file:
```
TlBiF2
1.0
0.000 3.362 3.362
3.362 0.000 3.362
3.362 3.362 0.000
Tl Bi F
1 1 2
Direct
0.000 0.000 0.000 Tl
0.500 0.500 0.500 Bi
0.250 0.250 0.250 F
0.750 0.750 0.750 F
```



8.
The following is a PBE-GGA calculation of an optimized crystal structure of Ba6BiP2N, from Alexandria.

The electronic total energy comes out at -4.199 eV/atom. The total magnetization is 0.00 μB per formula unit.

POSCAR file:
```
Ba6BiP2N
1.0
7.989 0.000 0.000
0.000 8.201 0.000
-6.673 0.000 11.801
Ba Bi P N
12 2 4 2
Direct
0.083 0.199 0.438 Ba
0.083 0.301 0.938 Ba
0.174 0.663 0.402 Ba
0.174 0.837 0.902 Ba
0.383 0.070 0.223 Ba
0.383 0.430 0.723 Ba
0.617 0.570 0.277 Ba
0.617 0.930 0.777 Ba
0.826 0.163 0.098 Ba
0.826 0.337 0.598 Ba
0.917 0.699 0.062 Ba
0.917 0.801 0.562 Ba
0.500 0.000 0.500 Bi
0.500 0.500 0.000 Bi
0.197 0.085 0.723 P
0.197 0.415 0.223 P
0.803 0.585 0.777 P
0.803 0.915 0.277 P
0.000 0.000 0.000 N
0.000 0.500 0.500 N
```



9.
The following is a PBE-GGA calculation of an optimized crystal structure of Zr3MoRh2, from Alexandria.

The electronic total energy comes out at -9.096 eV/atom. The total magnetization is 0.00 μB per formula unit. The value obtained for the density of states at the Fermi level is 3.9 states/eV per cell. Its calculated formation energy is -0.5667 eV/atom.

POSCAR file:
```
Zr3MoRh2
1.0
3.340 0.000 0.000
0.000 3.340 0.000
0.000 0.000 9.814
Zr Mo Rh
3 1 2
Direct
0.000 0.000 0.000 Zr
0.000 0.000 0.335 Zr
0.000 0.000 0.665 Zr
0.500 0.500 0.500 Mo
0.500 0.500 0.158 Rh
0.500 0.500 0.842 Rh
```



10.
The following is a PBE-GGA calculation of an optimized crystal structure of KZnPS2, from Alexandria.

The electronic total energy comes out at -3.075 eV/atom. Its energy above the most stable polymorph in this dataset is 0.00 eV per formula unit. The total magnetization is 0.00 μB per formula unit. The value obtained for the density of states at the Fermi level is 3.7 states/eV per cell.

POSCAR file:
```
KZnPS2
1.0
4.987 0.000 0.000
0.000 4.987 0.000
0.000 0.000 4.596
K Zn P S
1 1 1 2
Direct
0.000 0.000 0.000 K
0.500 0.500 0.500 Zn
0.500 0.500 0.000 P
0.000 0.500 0.500 S
0.500 0.000 0.500 S
```



11.
The following is a PBE-GGA calculation of an optimized crystal structure of LiMgCd2, from Alexandria.

The electronic total energy comes out at -1.480 eV/atom. The total magnetization is 0.00 μB per formula unit. The value obtained for the density of states at the Fermi level is 1.8 states/eV per cell. Its calculated formation energy is -0.1449 eV/atom.

POSCAR file:
```
LiMgCd2
1.0
5.220 -1.712 0.000
5.220 1.712 0.000
-1.740 0.000 4.535
Li Mg Cd
1 1 2
Direct
0.000 0.000 0.000 Li
0.245 0.245 0.720 Mg
0.490 0.490 0.489 Cd
0.736 0.736 0.210 Cd
```



12.
The following is a PBE-GGA calculation of an optimized crystal structure of TbNd2Dy4Mg, from Alexandria.

The electronic total energy comes out at -4.244 eV/atom. The total magnetization is 0.00 μB per formula unit. The value obtained for the density of states at the Fermi level is 12.1 states/eV per cell. Its calculated formation energy is 0.0272 eV/atom.

POSCAR file:
```
TbNd2Dy4Mg
1.0
4.978 0.000 0.000
0.000 4.990 0.000
0.000 0.000 10.162
Tb Nd Dy Mg
1 2 4 1
Direct
0.000 0.000 0.000 Tb
0.000 0.000 0.500 Nd
0.500 0.500 0.000 Nd
0.000 0.500 0.251 Dy
0.000 0.500 0.749 Dy
0.500 0.000 0.251 Dy
0.500 0.000 0.749 Dy
0.500 0.500 0.500 Mg
```



13.
The following is a PBE-GGA calculation of an optimized crystal structure of K2TlBiBr6, from Alexandria.

The electronic total energy comes out at -3.037 eV/atom. The total magnetization is 0.00 μB per formula unit. The value obtained for the density of states at the Fermi level is 0.0 states/eV per cell.

POSCAR file:
```
K2TlBiBr6
1.0
8.146 0.000 0.000
-4.072 7.069 0.000
-4.071 -2.354 7.092
K Tl Bi Br
2 1 1 6
Direct
0.000 0.000 0.000 K
0.021 0.511 0.531 K
0.428 0.714 0.143 Tl
0.410 0.205 0.616 Bi
0.262 0.410 0.363 Br
0.283 0.323 0.836 Br
0.511 0.101 0.363 Br
0.512 0.960 0.836 Br
0.876 0.553 0.837 Br
0.953 0.852 0.363 Br
```



14.
The following is a PBE-GGA calculation of an optimized crystal structure of Y6GeSb2Se3, from Alexandria.

The electronic total energy comes out at -6.636 eV/atom. The total magnetization is 0.00 μB per formula unit. The value obtained for the density of states at the Fermi level is 3.8 states/eV per cell.

POSCAR file:
```
Y6GeSb2Se3
1.0
9.185 -2.109 0.000
9.185 2.109 0.000
-1.864 0.000 8.221
Y Ge Sb Se
6 1 2 3
Direct
0.002 0.002 0.265 Y
0.338 0.338 0.911 Y
0.340 0.340 0.427 Y
0.660 0.660 0.573 Y
0.662 0.662 0.089 Y
0.998 0.998 0.735 Y
0.500 0.500 0.500 Ge
0.168 0.168 0.835 Sb
0.832 0.832 0.165 Sb
0.169 0.169 0.335 Se
0.500 0.500 0.000 Se
0.831 0.831 0.665 Se
```



15.
The following is a PBE-GGA calculation of an optimized crystal structure of ScSn3Pd, from Alexandria.

The electronic total energy comes out at -4.101 eV/atom. Its energy above the most stable polymorph in this dataset is 2.48 eV per formula unit. The total magnetization is 0.00 μB per formula unit. The value obtained for the density of states at the Fermi level is 4.8 states/eV per cell. Its calculated formation energy is 0.6053 eV/atom.

POSCAR file:
```
ScSn3Pd
1.0
5.413 0.000 0.000
0.000 5.413 0.000
0.000 0.000 5.413
Sc Sn Pd
1 3 1
Direct
0.000 0.000 0.000 Sc
0.000 0.000 0.500 Sn
0.000 0.500 0.000 Sn
0.500 0.000 0.000 Sn
0.500 0.500 0.500 Pd
```



16.
The following is a PBE-GGA calculation of an optimized crystal structure of TbSm2Cd2, from Alexandria.

The electronic total energy comes out at -3.354 eV/atom. Its energy above the most stable polymorph in this dataset is 0.39 eV per formula unit. The total magnetization is 0.00 μB per formula unit. The value obtained for the density of states at the Fermi level is 6.0 states/eV per cell. Its calculated formation energy is -0.1741 eV/atom.

POSCAR file:
```
TbSm2Cd2
1.0
-2.519 3.502 4.138
2.519 -3.502 4.138
2.519 3.502 -4.138
Tb Sm Cd
1 2 2
Direct
0.000 0.000 0.000 Tb
0.304 0.804 0.500 Sm
0.696 0.196 0.500 Sm
0.291 0.500 0.791 Cd
0.709 0.500 0.209 Cd
```



17.
The following is a PBE-GGA calculation of an optimized crystal structure of Li5Cd4Sn2, from Alexandria.

The electronic total energy comes out at -2.166 eV/atom. The total magnetization is 0.00 μB per formula unit. The value obtained for the density of states at the Fermi level is 2.7 states/eV per cell. Its calculated formation energy is -0.2355 eV/atom.

POSCAR file:
```
Li5Cd4Sn2
1.0
4.969 -2.970 0.000
4.969 2.970 0.000
-3.218 0.000 7.669
Li Cd Sn
5 4 2
Direct
0.000 0.000 0.000 Li
0.110 0.578 0.316 Li
0.422 0.890 0.684 Li
0.578 0.110 0.316 Li
0.890 0.422 0.684 Li
0.102 0.102 0.384 Cd
0.310 0.310 0.994 Cd
0.690 0.690 0.006 Cd
0.898 0.898 0.616 Cd
0.403 0.403 0.690 Sn
0.597 0.597 0.310 Sn
```



18.
The following is a PBE-GGA calculation of an optimized crystal structure of Mg5MnS6, from Alexandria.

The electronic total energy comes out at -4.769 eV/atom. The total magnetization is 5.00 μB per formula unit.

POSCAR file:
```
Mg5MnS6
1.0
3.198 -5.535 0.000
3.198 5.535 0.000
-2.138 0.000 6.027
Mg Mn S
5 1 6
Direct
0.000 0.000 0.000 Mg
0.167 0.833 0.500 Mg
0.334 0.666 0.000 Mg
0.666 0.334 0.000 Mg
0.833 0.167 0.500 Mg
0.500 0.500 0.500 Mn
0.085 0.417 0.251 S
0.250 0.250 0.749 S
0.417 0.085 0.251 S
0.583 0.915 0.749 S
0.750 0.750 0.251 S
0.915 0.583 0.749 S
```



19.
The following is a PBE-GGA calculation of an optimized crystal structure of TbGdErCd, from Alexandria.

The electronic total energy comes out at -6.087 eV/atom. The total magnetization is 7.73 μB per formula unit. The value obtained for the density of states at the Fermi level is 4.9 states/eV per cell. Its calculated formation energy is -0.0393 eV/atom.

POSCAR file:
```
TbGdErCd
1.0
0.000 3.853 3.853
3.853 0.000 3.853
3.853 3.853 0.000
Tb Gd Er Cd
1 1 1 1
Direct
0.000 0.000 0.000 Tb
0.500 0.500 0.500 Gd
0.750 0.750 0.750 Er
0.250 0.250 0.250 Cd
```



20.
The following is a PBE-GGA calculation of an optimized crystal structure of AcCe2ErAs4, from Alexandria.

The electronic total energy comes out at -6.311 eV/atom. The total magnetization is 1.35 μB per formula unit. The value obtained for the density of states at the Fermi level is 11.3 states/eV per cell. Its calculated formation energy is -1.4186 eV/atom.

POSCAR file:
```
AcCe2ErAs4
1.0
7.398 0.000 0.000
0.000 4.274 0.000
-2.464 0.000 6.992
Ac Ce Er As
1 2 1 4
Direct
0.000 0.000 0.000 Ac
0.500 0.000 0.500 Ce
0.500 0.500 0.000 Ce
0.000 0.500 0.500 Er
0.252 0.000 0.738 As
0.262 0.500 0.267 As
0.738 0.500 0.733 As
0.748 0.000 0.262 As
```